1.
A relaxed FeBP2Au crystal. Source: Alexandria via LeMat-Bulk, functional GGA-PBE.

Geometry as POSCAR:
```
FeBP2Au
1.0
3.240 0.000 0.000
1.620 3.815 0.000
1.438 1.080 5.480
Fe B P Au
1 1 2 1
direct
0.000 0.000 0.000
0.209 0.088 0.581
0.654 0.620 0.080
0.784 0.115 0.384
0.334 0.503 0.724
```

Results
Energy of formation (kJ/mol of atoms): 8
Crystal system: triclinic
Space group: P1 (1)
E above lowest polymorph (eV per atom): 0.195

2.
A relaxed ScFe2BAu crystal. Source: Alexandria via LeMat-Bulk, functional GGA-PBE.

Geometry as POSCAR:
```
ScFe2BAu
1.0
4.614 0.000 0.000
0.000 4.614 0.000
0.000 0.000 5.003
Sc Fe B Au
1 2 1 1
direct
0.000 0.000 0.000
0.000 0.500 0.500
0.500 0.000 0.500
0.500 0.500 0.000
0.000 0.000 0.500
```

Results
Energy of formation (kJ/mol of atoms): 200
Crystal system: tetragonal
Space group: P4/mmm (123)

3.
A relaxed FeB2TeAu crystal. Source: Alexandria via LeMat-Bulk, functional GGA-PBE.

Geometry as POSCAR:
```
FeB2TeAu
1.0
3.903 0.000 0.000
0.000 3.903 0.000
0.000 0.000 5.220
Fe B Te Au
1 2 1 1
direct
0.000 0.000 0.000
0.000 0.500 0.000
0.500 0.000 0.000
0.000 0.000 0.500
0.500 0.500 0.500
```

Results
Crystal system: tetragonal
Space group: P4/mmm (123)
Formation energy without anion corrections (meV per atom): 801.9

4.
A relaxed GaB2Au2 crystal. Source: Alexandria via LeMat-Bulk, functional GGA-PBE.

Geometry as POSCAR:
```
GaB2Au2
1.0
7.166 0.000 0.000
0.000 7.166 0.000
0.000 0.000 2.837
Ga B Au
2 4 4
direct
0.000 0.000 0.000
0.500 0.500 0.000
0.179 0.321 0.500
0.321 0.821 0.500
0.679 0.179 0.500
0.821 0.679 0.500
0.143 0.643 0.000
0.357 0.143 0.000
0.643 0.857 0.000
0.857 0.357 0.000
```

Results
Energy of formation (kJ/mol of atoms): 102
Crystal system: tetragonal
Space group: P4/mbm (127)
E above lowest polymorph (eV per atom): 0.433

5.
A relaxed GaB2Au2 crystal. Source: Alexandria via LeMat-Bulk, functional GGA-PBE.

Geometry as POSCAR:
```
GaB2Au2
1.0
-1.461 1.461 7.847
1.461 -1.461 7.847
1.461 1.461 -7.847
Ga B Au
1 2 2
direct
0.000 0.000 0.000
0.250 0.750 0.500
0.750 0.250 0.500
0.372 0.372 0.000
0.628 0.628 0.000
```

Results
Energy of formation (kJ/mol of atoms): 60
Crystal system: tetragonal
Space group: I4/mmm (139)
E above lowest polymorph (eV per atom): 0.000

6.
A relaxed Ga3BAu crystal. Source: Alexandria via LeMat-Bulk, functional GGA-PBE.

Geometry as POSCAR:
```
Ga3BAu
1.0
4.943 0.000 0.000
0.000 4.943 0.000
0.000 0.000 4.943
Ga B Au
3 1 1
direct
0.000 0.000 0.500
0.000 0.500 0.000
0.500 0.000 0.000
0.500 0.500 0.500
0.000 0.000 0.000
```

Results
Energy of formation (kJ/mol of atoms): 102
Crystal system: cubic
Space group: Pm-3m (221)
E above lowest polymorph (eV per atom): 0.737

7.
A relaxed GaBAu2 crystal. Source: Alexandria via LeMat-Bulk, functional GGA-PBE.

Geometry as POSCAR:
```
GaBAu2
1.0
0.000 3.148 3.148
3.148 0.000 3.148
3.148 3.148 0.000
Ga B Au
1 1 2
direct
0.000 0.000 0.000
0.500 0.500 0.500
0.250 0.250 0.250
0.750 0.750 0.750
```

Results
Energy of formation (kJ/mol of atoms): 70
Crystal system: cubic
Space group: Fm-3m (225)
E above lowest polymorph (eV per atom): 0.379

8.
A relaxed GaBAu3 crystal. Source: Alexandria via LeMat-Bulk, functional GGA-PBE.

Geometry as POSCAR:
```
GaBAu3
1.0
4.875 0.000 0.000
0.000 4.875 0.000
0.000 0.000 4.875
Ga B Au
1 1 3
direct
0.000 0.000 0.000
0.500 0.500 0.500
0.000 0.000 0.500
0.000 0.500 0.000
0.500 0.000 0.000
```

Results
Energy of formation (kJ/mol of atoms): 117
Crystal system: cubic
Space group: Pm-3m (221)

9.
A relaxed Ga3BAu crystal. Source: Alexandria via LeMat-Bulk, functional GGA-PBE.

Geometry as POSCAR:
```
Ga3BAu
1.0
4.406 0.000 0.000
0.000 4.406 0.000
0.000 0.000 4.406
Ga B Au
3 1 1
direct
0.000 0.000 0.500
0.000 0.500 0.000
0.500 0.000 0.000
0.000 0.000 0.000
0.500 0.500 0.500
```

Results
Energy of formation (kJ/mol of atoms): 31
Crystal system: cubic
Space group: Pm-3m (221)
E above lowest polymorph (eV per atom): 0.000

10.
A relaxed GaBAu2 crystal. Source: Alexandria via LeMat-Bulk, functional GGA-PBE.

Geometry as POSCAR:
```
GaBAu2
1.0
-2.944 2.944 4.450
2.944 -2.944 4.450
2.944 2.944 -4.450
Ga B Au
2 2 4
direct
0.000 0.000 0.000
0.750 0.250 0.500
0.250 0.750 0.500
0.500 0.500 0.000
0.195 0.625 0.070
0.375 0.445 0.570
0.555 0.125 0.930
0.875 0.805 0.430
```

Results
Energy of formation (kJ/mol of atoms): 34
Crystal system: tetragonal
Space group: I-42d (122)
E above lowest polymorph (eV per atom): 0.000

11.
A relaxed GaBIr2Au crystal. Source: Alexandria via LeMat-Bulk, functional GGA-PBE.

Geometry as POSCAR:
```
GaBIr2Au
1.0
4.976 0.000 0.000
0.000 4.976 0.000
0.000 0.000 4.658
Ga B Ir Au
1 1 2 1
direct
0.000 0.000 0.000
0.500 0.500 0.000
0.000 0.500 0.500
0.500 0.000 0.500
0.000 0.000 0.500
```

Results
Energy of formation (kJ/mol of atoms): 234
Crystal system: tetragonal
Space group: P4/mmm (123)
E above lowest polymorph (eV per atom): 0.708

12.
A relaxed GaBIr2Au crystal. Source: Alexandria via LeMat-Bulk, functional GGA-PBE.

Geometry as POSCAR:
```
GaBIr2Au
1.0
5.049 0.000 0.000
0.000 5.049 0.000
0.000 0.000 3.870
Ga B Ir Au
1 1 2 1
direct
0.000 0.000 0.000
0.500 0.500 0.000
0.000 0.500 0.500
0.500 0.000 0.500
0.500 0.500 0.500
```

Results
Energy of formation (kJ/mol of atoms): 166
Crystal system: tetragonal
Space group: P4/mmm (123)
E above lowest polymorph (eV per atom): 0.000

Electronic total energy list, top to bottom, in eV per atom: -5.7663, -4.5678, -4.8454, -3.5296, -3.9629, -2.7510, -3.3356, -2.6937, -3.4881, -3.7144, -3.7172, -4.4250
Volume list, top to bottom, in Å³/f.u.: 67.74, 106.51, 79.52, 72.85, 66.97, 120.80, 62.41, 115.83, 85.56, 77.13, 115.33, 98.67